# meta-GGA SCAN Ca3BiPt, single point on PBEsol structure
data_Ca3BiPt
_chemical_formula_sum 'Ca3 Bi1 Pt1'
_cell_length_a 5.749
_cell_length_b 5.749
_cell_length_c 5.749
_cell_angle_alpha 90.00
_cell_angle_beta 90.00
_cell_angle_gamma 90.00
_space_group_name_H-M_alt 'P m -3 m'
_space_group_IT_number 221
_space_group_name_Hall '-P 4 2 3'
loop_
_atom_site_label
_atom_site_fract_x
_atom_site_fract_y
_atom_site_fract_z
_atom_site_occupancy
Ca1 0.000 0.000 0.500 1
Bi1 0.000 0.000 0.000 1
Pt1 0.500 0.500 0.500 1
# Total DFT energy (no corrections) in eV/atom: -35.46
# M_tot in μB per atom: 0.0000
# DFT formation energy in eV/atom: 0.091
# N(E_F) in states/eV/cell: 3.42